Hg4PSI2: optimized geometry, PBE-GGA.

For the density of states at the Fermi level, the calculation gives 0.353 states/eV/atom. The crystal system is monoclinic. The calculation puts the formation energy from raw total energies at 0.062 eV per atom.

It has space group C2/c (No. 15), with a = 11.9535 Å, b = 12.1115 Å, c = 8.4132 Å, α = 90.00°, β = 134.62° and γ = 90.00°. The inequivalent atoms are Hg at (0.0001, 0.2239, 0.0332), Hg at (0.2071, 0.0137, 0.4567), P at (0.0000, 0.0000, 0.0000), S at (0.2500, 0.2500, 0.5000), I at (0.0000, 0.5000, 0.0000) and I at (0.2500, 0.2500, 0.0000).

HgSb2PI: optimized geometry, PBE-GGA.

For the density of states at the Fermi level, the calculation gives 1.190 states/eV/atom. The crystal system is tetragonal. The calculation puts the formation energy from raw total energies at 1.172 eV per atom.

It has space group P4/mmm (No. 123), with a = 5.5891 Å, b = 5.5891 Å, c = 5.5932 Å, α = 90.00°, β = 90.00° and γ = 90.00°. The inequivalent atoms are Hg at (0.0000, 0.0000, 0.0000), Sb at (0.0000, 0.5000, 0.0000), P at (0.5000, 0.5000, 0.5000) and I at (0.0000, 0.0000, 0.5000).

HgSb2PI: optimized geometry, PBE-GGA.

For the density of states at the Fermi level, the calculation gives 1.030 states/eV/atom. The crystal system is tetragonal. The calculation puts the formation energy from raw total energies at 0.538 eV per atom.

It has space group P4/mmm (No. 123), with a = 5.3649 Å, b = 5.3649 Å, c = 5.4536 Å, α = 90.00°, β = 90.00° and γ = 90.00°. The inequivalent atoms are Hg at (0.0000, 0.0000, 0.0000), Sb at (0.0000, 0.5000, 0.5000), P at (0.5000, 0.5000, 0.5000) and I at (0.5000, 0.5000, 0.0000).

Hg4PSeI2: optimized geometry, PBE-GGA.

For the density of states at the Fermi level, the calculation gives 0.377 states/eV/atom. The crystal system is orthorhombic. The calculation puts the formation energy from raw total energies at 0.026 eV per atom.

It has space group Imma (No. 74), with a = 8.2832 Å, b = 8.4034 Å, c = 13.0370 Å, α = 90.00°, β = 90.00° and γ = 90.00°. The inequivalent atoms are Hg at (0.0000, 0.0348, 0.2367), Hg at (0.2244, 0.2500, 0.0423), P at (0.2500, 0.2500, 0.2500), Se at (0.0000, 0.0000, 0.0000), I at (0.0000, 0.0000, 0.5000) and I at (0.2500, 0.2500, 0.7500).

SiHg2PI: optimized geometry, PBE-GGA.

For the density of states at the Fermi level, the calculation gives 0.722 states/eV/atom. The crystal system is tetragonal. The calculation puts the formation energy from raw total energies at 1.411 eV per atom.

It has space group P4/mmm (No. 123), with a = 5.8815 Å, b = 5.8815 Å, c = 5.5354 Å, α = 90.00°, β = 90.00° and γ = 90.00°. The inequivalent atoms are Si at (0.0000, 0.0000, 0.0000), Hg at (0.0000, 0.5000, 0.5000), P at (0.5000, 0.5000, 0.0000) and I at (0.0000, 0.0000, 0.5000).

HgTe2PI: optimized geometry, PBE-GGA.

For the density of states at the Fermi level, the calculation gives 1.056 states/eV/atom. The crystal system is tetragonal. The calculation puts the formation energy from raw total energies at 0.385 eV per atom.

It has space group P4/mmm (No. 123), with a = 5.3945 Å, b = 5.3945 Å, c = 5.4017 Å, α = 90.00°, β = 90.00° and γ = 90.00°. The inequivalent atoms are Hg at (0.0000, 0.0000, 0.0000), Te at (0.0000, 0.5000, 0.5000), P at (0.5000, 0.5000, 0.5000) and I at (0.5000, 0.5000, 0.0000).

HgTe2PI: optimized geometry, PBE-GGA.

For the density of states at the Fermi level, the calculation gives 1.022 states/eV/atom. The crystal system is tetragonal. The calculation puts the formation energy from raw total energies at 1.014 eV per atom.

It has space group P4/mmm (No. 123), with a = 5.7017 Å, b = 5.7017 Å, c = 5.8111 Å, α = 90.00°, β = 90.00° and γ = 90.00°. The inequivalent atoms are Hg at (0.0000, 0.0000, 0.0000), Te at (0.0000, 0.5000, 0.0000), P at (0.5000, 0.5000, 0.5000) and I at (0.0000, 0.0000, 0.5000).

Hg6TePI2: optimized geometry, PBE-GGA.

For the density of states at the Fermi level, the calculation gives 0.136 states/eV/atom. The crystal system is monoclinic. The calculation puts the formation energy from raw total energies at -0.024 eV per atom.

It has space group C2/m (No. 12), with a = 13.3192 Å, b = 7.7340 Å, c = 7.7423 Å, α = 90.00°, β = 123.08° and γ = 90.00°. The inequivalent atoms are Hg at (0.0436, 0.2400, 0.3067), Hg at (0.2317, 0.0000, 0.8165), Te at (0.0000, 0.5000, 0.0000), P at (0.0000, 0.0000, 0.5000) and I at (0.2404, 0.5000, 0.7076).

Pa2HgI11: optimized geometry, PBE-GGA.

For the density of states at the Fermi level, the calculation gives 0.323 states/eV/atom. The crystal system is orthorhombic. The calculation puts the formation energy from raw total energies at -0.741 eV per atom.

It has space group Ibam (No. 72), with a = 15.0771 Å, b = 15.1561 Å, c = 14.2377 Å, α = 90.00°, β = 90.00° and γ = 90.00°. The inequivalent atoms are Pa at (0.1791, 0.1022, 0.0000), Hg at (0.0000, 0.5000, 0.2500), I at (0.0000, 0.0000, 0.0000), I at (0.1102, 0.2093, 0.1519), I at (0.1528, 0.3068, 0.5000) and I at (0.2459, 0.0340, 0.3681).

PaHgI3: optimized geometry, PBE-GGA.

For the density of states at the Fermi level, the calculation gives 1.879 states/eV/atom. The crystal system is cubic. The calculation puts the formation energy from raw total energies at -0.531 eV per atom.

It has space group Pm-3m (No. 221), with a = 6.1718 Å, b = 6.1718 Å, c = 6.1718 Å, α = 90.00°, β = 90.00° and γ = 90.00°. The inequivalent atoms are Pa at (0.0000, 0.0000, 0.0000), Hg at (0.5000, 0.5000, 0.5000) and I at (0.0000, 0.0000, 0.5000).

PaHg2I6: optimized geometry, PBE-GGA.

For the density of states at the Fermi level, the calculation gives 1.068 states/eV/atom. The crystal system is monoclinic. The calculation puts the formation energy from raw total energies at -0.578 eV per atom.

It has space group C2/m (No. 12), with a = 14.2981 Å, b = 8.7039 Å, c = 8.0552 Å, α = 90.00°, β = 121.20° and γ = 90.00°. The inequivalent atoms are Pa at (0.0000, 0.0000, 0.0000), Hg at (0.2481, 0.0000, 0.6880), I at (0.0611, 0.2394, 0.3003) and I at (0.2270, 0.0000, 0.0841).

PaHg4I5: optimized geometry, PBE-GGA.

The crystal system is tetragonal. The calculation puts the formation energy from raw total energies at -0.498 eV per atom.

It has space group I4 (No. 79), with a = 12.6637 Å, b = 12.6637 Å, c = 6.1003 Å, α = 90.00°, β = 90.00° and γ = 90.00°. The inequivalent atoms are Pa at (0.0000, 0.0000, 0.0000), Hg at (0.0766, 0.6041, 0.4982), I at (0.0000, 0.0000, 0.5001) and I at (0.1232, 0.8067, 0.0003).